Fe2SnSb2: optimized geometry, PBE.

Cell and atoms, written as POSCAR:
```
Fe2SnSb2
1.0
5.2397 -3.3143 0.0000
5.2397 3.3143 0.0000
-3.5603 0.0000 5.6021
Fe Sn Sb
4 2 4
direct
0.1570 0.6598 0.5123
0.3402 0.8430 0.9877
0.6598 0.1570 0.0123
0.8430 0.3402 0.4877
0.4029 0.5971 0.2500
0.5971 0.4029 0.7500
0.0917 0.2427 0.2235
0.2427 0.0917 0.7235
0.7573 0.9083 0.2765
0.9083 0.7573 0.7765
```

Values from the calculation:
Calculated total energy   -57.8 eV for the cell shown
Density   8.1 Mg/m³
D(E_F)   0.79 states/eV/atom

---

FeSnSb2Te: optimized geometry, PBE.

Cell and atoms, written as POSCAR:
```
FeSnSb2Te
1.0
5.3891 0.0000 0.0000
0.0000 5.3891 0.0000
0.0000 0.0000 5.4198
Fe Sn Sb Te
1 1 2 1
direct
0.0000 0.0000 0.0000
0.5000 0.5000 0.5000
0.0000 0.5000 0.5000
0.5000 0.0000 0.5000
0.5000 0.5000 0.0000
```

Values from the calculation:
Calculated total energy   -15.7 eV for the cell shown
Density   5.8 Mg/m³
D(E_F)   2.31 states/eV/atom

---

FeSnSb2Te: optimized geometry, PBE.

Cell and atoms, written as POSCAR:
```
FeSnSb2Te
1.0
4.8008 0.0000 0.0000
0.0000 4.8008 0.0000
0.0000 0.0000 5.7698
Fe Sn Sb Te
1 1 2 1
direct
0.0000 0.0000 0.0000
0.5000 0.5000 0.5000
0.0000 0.5000 0.0000
0.5000 0.0000 0.0000
0.0000 0.0000 0.5000
```

Values from the calculation:
Calculated total energy   -22.2 eV for the cell shown
Density   6.8 Mg/m³
D(E_F)   0.84 states/eV/atom

---

FeSn2SbW: optimized geometry, PBE.

Cell and atoms, written as POSCAR:
```
FeSn2SbW
1.0
5.1069 0.0000 0.0000
0.0000 5.1069 0.0000
0.0000 0.0000 5.0451
Fe Sn Sb W
1 2 1 1
direct
0.0000 0.0000 0.0000
0.0000 0.5000 0.5000
0.5000 0.0000 0.5000
0.5000 0.5000 0.0000
0.5000 0.5000 0.5000
```

Values from the calculation:
Calculated total energy   -28.1 eV for the cell shown
Density   7.6 Mg/m³
D(E_F)   0.55 states/eV/atom

---

SrFe2Sb: optimized geometry, PBE.

Cell and atoms, written as POSCAR:
```
SrFe2Sb
1.0
3.3417 0.0000 0.0000
0.0000 3.3417 0.0000
0.0000 0.0000 7.4986
Sr Fe Sb
1 2 1
direct
0.0000 0.0000 0.0000
0.0000 0.0000 0.4322
0.5000 0.5000 0.3070
0.5000 0.5000 0.6544
```

Values from the calculation:
Calculated total energy   -22.1 eV for the cell shown
Density   6.4 Mg/m³
D(E_F)   0.87 states/eV/atom

---

SrFe4Sb: optimized geometry, PBE.

Cell and atoms, written as POSCAR:
```
SrFe4Sb
1.0
0.0000 3.7168 3.7168
3.7168 0.0000 3.7168
3.7168 3.7168 0.0000
Sr Fe Sb
1 4 1
direct
0.0000 0.0000 0.0000
0.1225 0.6258 0.6258
0.6258 0.1225 0.6258
0.6258 0.6258 0.1225
0.6258 0.6258 0.6258
0.2500 0.2500 0.2500
```

Values from the calculation:
Calculated total energy   -37.9 eV for the cell shown
Density   7.0 Mg/m³
D(E_F)   1.29 states/eV/atom